The following is a PBE-GGA calculation of a geometry-optimized Y2NiHOs structure, from Alexandria.

```
5
Lattice="4.8254 0.0000 0.0000 0.0000 4.8254 0.0000 0.0000 0.0000 3.4745" Properties=species:S:1:pos:R:3 pbc="T T T"
Y 0.0000 2.4127 0.0000
Y 2.4127 0.0000 0.0000
Ni 0.0000 0.0000 1.7373
H 0.0000 0.0000 0.0000
Os 2.4127 2.4127 1.7373
```

Output
Raw total energy, eV for the cell shown: -34.8
Magnetization, Bohr magnetons per cell: 0.0
DOS at the Fermi energy, states/eV per atom: 0.54

The following is a PBE-GGA calculation of a geometry-optimized Zr2NiHOs structure, from Alexandria.

```
5
Lattice="4.6199 0.0000 0.0000 0.0000 4.6199 0.0000 0.0000 0.0000 3.3372" Properties=species:S:1:pos:R:3 pbc="T T T"
Zr 0.0000 2.3100 0.0000
Zr 2.3100 0.0000 0.0000
Ni 0.0000 0.0000 1.6686
H 0.0000 0.0000 0.0000
Os 2.3100 2.3100 1.6686
```

Output
Magnetization, Bohr magnetons per cell: 0.0
DOS at the Fermi energy, states/eV per atom: 0.73
Energy relative to the lowest polymorph listed for this composition, meV per atom: 0

Q: Number 2 is which compound?
A: Zr2NiHOs